1.
Cd2AgIr: optimized geometry, PBE.

The structure in CIF format:
```
data_Cd2AgIr
_cell_length_a 3.098
_cell_length_b 4.885
_cell_length_c 9.550
_cell_angle_alpha 90.00
_cell_angle_beta 90.00
_cell_angle_gamma 90.00
_symmetry_space_group_name_H-M 'P 1'
_symmetry_Int_Tables_number 1
loop_
_symmetry_equiv_pos_as_xyz
'x,y,z'
loop_
_atom_site_label
_atom_site_type_symbol
_atom_site_fract_x
_atom_site_fract_y
_atom_site_fract_z
Cd1 Cd 0.000 0.000 0.242
Cd2 Cd 0.000 0.000 0.758
Cd3 Cd 0.500 0.500 0.242
Cd4 Cd 0.500 0.500 0.758
Ag1 Ag 0.000 0.500 0.500
Ag2 Ag 0.500 0.000 0.500
Ir1 Ir 0.000 0.500 0.000
Ir2 Ir 0.500 0.000 0.000
```

Output
calculated formation energy	162	meV per atom
total magnetization	0.00	μB per cell
E_tot	-25.79	eV for the cell shown
D(E_F)	2.1	states/eV/f.u.

2.
ZrBeTl3: optimized geometry, PBE.

The structure in CIF format:
```
data_ZrBeTl3
_cell_length_a 4.919
_cell_length_b 4.919
_cell_length_c 4.919
_cell_angle_alpha 90.00
_cell_angle_beta 90.00
_cell_angle_gamma 90.00
_symmetry_space_group_name_H-M 'P 1'
_symmetry_Int_Tables_number 1
loop_
_symmetry_equiv_pos_as_xyz
'x,y,z'
loop_
_atom_site_label
_atom_site_type_symbol
_atom_site_fract_x
_atom_site_fract_y
_atom_site_fract_z
Zr1 Zr 0.000 0.000 0.000
Be1 Be 0.500 0.500 0.500
Tl1 Tl 0.000 0.500 0.500
Tl2 Tl 0.500 0.000 0.500
Tl3 Tl 0.500 0.500 0.000
```

Output
calculated formation energy	616	meV per atom
total magnetization	0.00	μB per cell
E_tot	-16.29	eV for the cell shown
distance to the lowest polymorph of the same formula	0.000	eV/atom
D(E_F)	3.3	states/eV/f.u.